(1)
A plane-wave DFT calculation with PBE was carried out for crystalline Ba2LiCd2 at its relaxed geometry.

Cell: 6.664 6.664 12.687 Å, 116.03 116.03 46.73°
Fractional coordinates of all 10 atoms:
Ba  0.007  0.007  0.335
Ba  0.193  0.193  0.111
Ba  0.807  0.807  0.889
Ba  0.993  0.993  0.665
Li  0.282  0.282  0.634
Li  0.718  0.718  0.366
Cd  0.351  0.351  0.436
Cd  0.494  0.494  0.119
Cd  0.506  0.506  0.881
Cd  0.649  0.649  0.564

Properties
Fermi-level density of states   9.9 states/eV/cell
Space-group type   C2/m, No. 12
Total DFT energy (no corrections)   -1.756 eV per atom
Total magnetic moment   0.000 μB per formula unit
Volume   360.4 Å³/cell

---

(2)
A plane-wave DFT calculation with PBE was carried out for crystalline BaLiCd2 at its relaxed geometry.

Cell: 3.841 3.732 7.987 Å, 90.00 90.31 90.00°
Fractional coordinates of all 4 atoms:
Ba  0.000  0.000  0.000
Li  0.000  0.000  0.500
Cd  0.500  0.500  0.314
Cd  0.500  0.500  0.686

Properties
Fermi-level density of states   2.9 states/eV/cell
Space-group type   P2/m, No. 10
Total DFT energy (no corrections)   -1.628 eV per atom
Total magnetic moment   0.000 μB per formula unit
Volume   114.5 Å³/cell

---

(3)
A plane-wave DFT calculation with PBE was carried out for crystalline BaLi2Cd at its relaxed geometry.

Cell: 10.689 10.689 10.689 Å, 151.58 151.58 40.63°
Fractional coordinates of all 8 atoms:
Ba  0.375  0.625  0.750
Ba  0.625  0.375  0.250
Li  0.000  0.000  0.000
Li  0.000  0.000  0.500
Li  0.000  0.500  0.000
Li  0.500  0.000  0.500
Cd  0.125  0.875  0.250
Cd  0.875  0.125  0.750

Properties
Fermi-level density of states   7.2 states/eV/cell
Space-group type   I4_1/amd, No. 141
Total DFT energy (no corrections)   -1.669 eV per atom
Total magnetic moment   0.000 μB per formula unit
Volume   276.1 Å³/cell

---

(4)
A plane-wave DFT calculation with PBE was carried out for crystalline BaLiCd2 at its relaxed geometry.

Cell: 10.569 10.569 10.569 Å, 150.37 150.37 42.41°
Fractional coordinates of all 8 atoms:
Ba  0.375  0.625  0.750
Ba  0.625  0.375  0.250
Li  0.125  0.875  0.250
Li  0.875  0.125  0.750
Cd  0.000  0.000  0.000
Cd  0.000  0.000  0.500
Cd  0.000  0.500  0.000
Cd  0.500  0.000  0.500

Properties
Fermi-level density of states   7.8 states/eV/cell
Space-group type   I4_1/amd, No. 141
Total DFT energy (no corrections)   -1.492 eV per atom
Total magnetic moment   0.000 μB per formula unit
Volume   287.9 Å³/cell

---

(5)
A plane-wave DFT calculation with PBE was carried out for crystalline Ba2Li9Cd at its relaxed geometry.

Cell: 10.400 10.400 10.400 Å, 34.09 34.09 34.09°
Fractional coordinates of all 12 atoms:
Ba  0.130  0.130  0.130
Ba  0.870  0.870  0.870
Li  0.074  0.575  0.575
Li  0.333  0.333  0.333
Li  0.425  0.425  0.926
Li  0.425  0.926  0.425
Li  0.500  0.500  0.500
Li  0.575  0.074  0.575
Li  0.575  0.575  0.074
Li  0.667  0.667  0.667
Li  0.926  0.425  0.425
Cd  0.000  0.000  0.000

Properties
Fermi-level density of states   7.2 states/eV/cell
Space-group type   R-3m, No. 166
Total DFT energy (no corrections)   -1.783 eV per atom
Total magnetic moment   0.000 μB per formula unit
Volume   315.1 Å³/cell

---

(6)
A plane-wave DFT calculation with PBE was carried out for crystalline BaLiCd4 at its relaxed geometry.

Cell: 6.134 6.134 6.134 Å, 60.00 60.00 60.00°
Fractional coordinates of all 6 atoms:
Ba  0.000  0.000  0.000
Li  0.250  0.250  0.250
Cd  0.129  0.624  0.624
Cd  0.624  0.129  0.624
Cd  0.624  0.624  0.129
Cd  0.624  0.624  0.624

Properties
Fermi-level density of states   3.2 states/eV/cell
Space-group type   F-43m, No. 216
Total DFT energy (no corrections)   -1.462 eV per atom
Total magnetic moment   0.000 μB per formula unit
Volume   163.2 Å³/cell